A | Entry from OQMD: a geometry-optimized PrSiHO4 structure (PBE).

```
14
Lattice="-7.3029 1.0030 1.0006 0.6369 -0.2035 4.8525 0.7442 4.2986 0.0826" Properties=species:S:1:pos:R:3 pbc="T T T"
O -2.8381 1.5943 3.9649
O -2.2483 0.9099 1.4687
O -0.3901 2.5334 4.7283
O -5.1832 3.4506 4.6341
O -4.9542 1.0583 1.0683
O -3.5177 3.0997 1.6396
O -6.3888 4.3317 2.4392
O 0.1286 0.3317 3.8937
Pr -1.2718 3.0579 2.4987
Pr -5.2261 1.3879 3.4852
Si 1.1399 3.1507 4.7252
Si -3.4686 1.6897 0.7280
H -0.1933 1.2129 4.4139
H -3.9532 4.0172 1.2942
```



B | Entry from OQMD: a geometry-optimized PrSiHO4 structure (PBE).

```
28
Lattice="4.9208 0.0000 0.0000 0.0000 9.4226 0.0000 0.0000 0.0000 6.5814" Properties=species:S:1:pos:R:3 pbc="T T T"
Si 1.0657 5.0366 1.6453
Si 1.3947 0.3253 1.6453
Si 3.5262 9.0973 4.9360
Si 3.8551 4.3860 4.9360
H 0.0000 0.0000 0.0000
H 2.4604 4.7113 3.2907
H 0.0000 0.0000 3.2907
H 2.4604 4.7113 0.0000
O 1.8599 5.7101 2.9283
O 0.5147 4.1064 4.9360
O 3.0609 3.7125 6.2190
O 1.1679 8.1371 1.6453
O 2.9751 0.6048 1.6453
O 4.4061 5.3161 1.6453
O 0.6005 0.9988 2.9283
O 3.0609 3.7125 3.6531
O 1.8599 5.7101 0.3624
O 0.6005 0.9988 0.3624
O 1.2926 3.4258 1.6453
O 4.3203 8.4237 6.2190
O 4.3203 8.4237 3.6531
O 3.7530 1.2854 4.9360
O 3.6283 5.9967 4.9360
O 1.9457 8.8177 4.9360
Pr 1.4729 1.9973 4.9360
Pr 3.9333 2.7140 1.6453
Pr 0.9875 6.7086 4.9360
Pr 3.4480 7.4253 1.6453
```



C | Entry from OQMD: a geometry-optimized PrSiHO4 structure (PBE).

```
28
Lattice="7.0955 0.0000 0.5001 0.0000 6.8776 0.0000 -2.1449 0.0000 6.6023" Properties=species:S:1:pos:R:3 pbc="T T T"
O 5.4346 3.1793 1.3606
O -0.4840 3.6983 5.7418
O 0.8483 3.8125 3.5279
O 3.0298 0.3738 6.8756
O 2.8837 1.2270 2.1130
O 3.1393 4.6658 1.6882
O 0.5232 1.8786 0.9581
O 2.0668 5.6505 4.9894
O 4.1023 3.0650 3.5745
O 1.9207 6.5038 0.2268
O 4.4274 4.9989 6.1443
O 5.4999 5.3174 2.8432
O 0.5884 6.6181 2.4406
O 1.8112 2.2118 5.4142
O -0.5493 1.5602 4.2593
O 4.3621 0.2595 4.6618
H 2.8221 1.9729 2.7634
H 3.2009 5.4116 1.0379
H 2.1285 4.9047 4.3391
H 1.7496 1.4659 6.0645
Pr 0.6278 4.4373 1.2601
Pr 4.3228 2.4402 5.8423
Pr -0.4447 5.8790 4.5612
Pr 5.3952 0.9986 2.5412
Si 1.4831 0.6502 1.4154
Si 3.4675 6.2273 5.6870
Si 4.5400 4.0890 2.3859
Si 0.4106 2.7885 4.7166
```



Energy relative to the most stable one, in meV per atom: A 125; B 94; C 0



A | Entry from OQMD: a geometry-optimized PrSiHO4 structure (PBE).

```
84
Lattice="0.0001 13.1731 0.0000 0.0000 0.0000 16.0317 4.4383 0.0000 0.0000" Properties=species:S:1:pos:R:3 pbc="T T T"
O 4.0719 2.6166 14.1448
O 3.3309 12.2209 7.8931
O 1.4888 7.3976 2.6741
O 0.7304 0.8110 2.6741
O 1.5465 1.0765 13.3888
O 1.1075 0.9523 8.1385
O 2.8918 12.0967 2.6428
O 0.2781 3.1315 4.0079
O 1.5465 1.0765 10.6587
O 0.3665 10.5565 6.1290
O 3.7658 5.5101 5.3730
O 3.3267 5.6344 7.8931
O 1.9577 3.3518 14.9858
O 4.1602 10.0416 12.0238
O 0.2615 9.9384 14.9858
O 1.4888 7.3976 5.3418
O 0.3665 10.5565 1.8869
O 0.2615 9.9384 9.0617
O 1.7576 11.2814 12.0238
O 4.0719 2.6166 9.9027
O 1.8528 3.9700 6.1290
O 1.1075 0.9523 15.9090
O 3.9766 8.4783 4.0079
O 0.6726 7.6630 13.3888
O 3.7080 12.3621 13.3576
O 3.7080 12.3621 10.6899
O 2.9496 5.7756 13.3576
O 3.3267 5.6344 0.1227
O 1.9577 3.3518 9.0617
O 4.1768 3.2347 1.0458
O 1.8528 3.9700 1.8869
O 1.1117 7.5388 8.1385
O 2.6808 1.8918 4.0079
O 1.1116 7.5388 15.9090
O 2.9496 5.7756 10.6899
O 1.9410 9.7180 4.0079
O 4.1768 3.2347 6.9700
O 2.4806 9.8213 6.9700
O 2.5856 9.2031 14.1448
O 0.6726 7.6630 10.6587
O 0.4617 4.6948 12.0238
O 0.7304 0.8110 5.3418
O 2.8918 12.0966 5.3730
O 2.5856 9.2031 9.9027
O 2.4806 9.8213 1.0458
O 3.7658 5.5101 2.6429
O 2.4974 3.4551 12.0238
O 3.3309 12.2209 0.1227
H 1.4939 3.7419 12.0238
H 3.7130 2.8447 4.0079
H 3.6718 9.6914 9.3794
H 2.9857 3.1048 9.3795
H 2.9444 9.4312 4.0079
H 0.7666 3.4817 1.3636
H 1.4526 10.0683 1.3636
H 3.6718 9.6914 14.6681
H 0.7665 3.4817 6.6523
H 2.9857 3.1048 14.6681
H 0.7254 10.3284 12.0238
H 1.4526 10.0683 6.6522
Si 1.1691 8.5962 14.6553
Si 1.0501 2.0096 14.6553
Si 3.2693 4.5769 1.3764
Si 1.1479 8.2828 4.0079
Si 3.3671 11.4768 12.0238
Si 3.3883 11.1635 1.3764
Si 3.3883 11.1635 6.6395
Si 1.1691 8.5962 9.3923
Si 3.2693 4.5769 6.6394
Si 1.0712 1.6963 4.0079
Si 1.0501 2.0096 9.3922
Si 3.2905 4.8903 12.0238
Pr 3.6727 7.6795 1.4950
Pr 1.4507 5.2077 4.0079
Pr 2.9876 7.9654 12.0237
Pr 2.9848 1.0928 1.4950
Pr 3.6727 7.6795 6.5208
Pr 0.7657 5.4937 9.5109
Pr 3.6699 1.3789 12.0238
Pr 0.7684 11.7943 4.0079
Pr 1.4536 12.0803 14.5367
Pr 2.9848 1.0928 6.5208
Pr 1.4536 12.0803 9.5109
Pr 0.7657 5.4937 14.5367
```



B | Entry from OQMD: a geometry-optimized PrSiHO4 structure (PBE).

```
28
Lattice="9.9938 0.0000 0.0000 0.0000 7.2845 0.0000 0.0000 0.0000 4.5065" Properties=species:S:1:pos:R:3 pbc="T T T"
O 2.0778 5.4634 0.9247
O 2.9191 1.8211 3.1780
O 9.5249 6.7869 1.0291
O 4.5280 6.7869 1.2241
O 8.4163 5.4634 3.5818
O 7.0747 5.4634 1.3285
O 9.5249 4.1399 1.0291
O 4.5280 4.1399 1.2241
O 6.5744 1.8211 1.3285
O 5.4658 0.4976 3.2824
O 7.9160 1.8211 3.5817
O 1.5775 1.8211 0.9247
O 5.4658 3.1446 3.2824
O 3.4194 5.4634 3.1779
O 0.4689 0.4976 3.4773
O 0.4689 3.1446 3.4773
Pr 4.0231 1.8211 0.7037
Pr 9.0200 1.8211 1.5495
Pr 5.9707 5.4634 3.8028
Pr 0.9738 5.4634 2.9569
H 0.0000 3.6423 0.0000
H 4.9969 0.0000 2.2532
H 4.9969 3.6423 2.2532
H 0.0000 0.0000 0.0000
Si 6.4256 1.8211 2.9458
Si 1.4287 1.8211 3.8139
Si 8.5651 5.4634 0.6926
Si 3.5682 5.4634 1.5606
```



C | Entry from OQMD: a geometry-optimized PrSiHO4 structure (PBE).

```
112
Lattice="7.9145 0.0000 0.0000 0.0000 9.0616 0.0000 0.0000 0.0000 17.8149" Properties=species:S:1:pos:R:3 pbc="T T T"
H 1.5715 8.2418 5.0267
H 3.4902 3.3064 17.7709
H 5.5288 5.3506 12.7882
H 2.3857 3.7110 5.0267
H 6.3430 0.8198 12.7882
H 7.4475 3.3064 8.9515
H 6.3430 3.7110 3.8808
H 1.5715 5.3506 13.9342
H 4.4243 5.7552 0.0440
H 5.5288 8.2418 3.8808
H 4.4243 7.8372 8.9515
H 3.4902 1.2244 8.8635
H 0.4671 7.8372 17.7709
H 2.3857 0.8198 13.9342
H 7.4475 1.2244 0.0440
H 0.4671 5.7552 8.8635
Pr 1.0063 2.9405 2.2318
Pr 1.0063 1.5904 11.1393
Pr 5.0257 1.6692 2.0847
Pr 6.9082 7.4713 6.6757
Pr 2.8888 7.3924 15.7303
Pr 4.9635 2.9405 6.6757
Pr 6.8461 7.3924 10.9921
Pr 2.9510 6.1211 11.1393
Pr 2.9510 7.4713 2.2318
Pr 1.0684 1.6692 6.8228
Pr 5.0257 2.8616 10.9921
Pr 6.8461 6.2000 2.0847
Pr 6.9082 6.1211 15.5831
Pr 2.8888 6.2000 6.8228
Pr 4.9635 1.5904 15.5831
Pr 1.0684 2.8616 15.7303
O 6.7162 0.9829 10.2137
O 6.2029 3.5610 8.8850
O 4.3787 4.5168 12.6454
O 6.4623 5.8061 12.9241
O 7.4931 4.5448 3.7379
O 7.2852 1.2132 2.9885
O 1.4522 1.2753 13.7983
O 5.6689 8.0918 8.8850
O 1.1983 5.5137 16.5087
O 5.1556 5.5137 10.2137
O 5.4094 3.2555 4.0166
O 3.5358 9.0476 14.0770
O 6.4623 7.7863 4.0166
O 3.5358 4.5448 5.1696
O 7.2366 1.1450 15.1152
O 0.4214 4.5168 14.0770
O 2.7584 0.8962 1.5083
O 6.7162 3.5479 1.3062
O 1.4522 3.2555 4.8909
O 5.6689 5.5006 17.7925
O 2.7589 3.5479 7.6012
O 4.5866 5.7440 2.9885
O 4.5866 7.8484 11.8960
O 4.6351 7.9166 6.2077
O 0.6779 7.9166 2.6998
O 1.7116 5.5006 8.9299
O 4.5672 2.9858 17.6977
O 7.3046 6.0758 8.7903
O 6.7156 3.6346 16.3066
O 2.7584 3.6346 10.4158
O 3.3473 7.5166 9.0247
O 5.1561 5.4270 7.3991
O 3.3280 3.3176 14.8264
O 2.2456 0.9698 8.9299
O 7.3046 7.5166 17.6977
O 7.2852 3.3176 11.8960
O 7.4931 9.0476 12.6454
O 2.7589 0.9829 16.5087
O 0.6779 5.6758 11.6072
O 7.2366 3.3858 6.2077
O 1.1989 5.4270 1.5083
O 5.1561 8.1654 16.3066
O 1.7116 8.0918 0.0224
O 4.5672 1.5450 8.7903
O 1.1989 8.1654 10.4158
O 3.2794 3.3858 2.6998
O 3.3473 6.0758 0.1172
O 0.6099 1.5450 0.1172
O 0.4214 0.0140 5.1696
O 2.2456 3.5610 0.0224
O 3.3280 1.2132 5.9189
O 0.6099 2.9858 9.0247
O 4.6351 5.6758 15.1152
O 2.5051 7.7863 4.8909
O 3.2794 1.1450 11.6072
O 5.4094 1.2753 12.9241
O 6.7156 0.8962 7.3991
O 0.6293 5.7440 5.9189
O 2.5051 5.8061 13.7983
O 5.1556 8.0787 1.3062
O 4.3787 0.0140 3.7379
O 1.1983 8.0787 7.6012
O 6.2029 0.9698 17.7925
O 0.6293 7.8484 14.8264
Si 7.7173 8.8726 3.6665
Si 5.9168 5.1723 8.8174
Si 1.9595 8.4201 8.9975
Si 4.1545 4.3418 3.6665
Si 3.7600 4.7198 14.1484
Si 4.1545 0.1890 12.5739
Si 5.9550 0.6415 8.8174
Si 3.7600 8.8726 5.2410
Si 7.7173 4.7198 12.5739
Si 1.9977 3.8893 8.9975
Si 0.1972 0.1890 14.1484
Si 0.1972 4.3418 5.2410
Si 1.9977 0.6415 0.0900
Si 1.9595 5.1723 0.0900
Si 5.9168 8.4201 17.7249
Si 5.9550 3.8893 17.7249
```



D | Entry from OQMD: a geometry-optimized PrSiHO4 structure (PBE).

```
42
Lattice="-8.7583 -2.2592 2.7546 6.1460 0.1380 7.1838 0.2576 7.9224 -5.1544" Properties=species:S:1:pos:R:3 pbc="T T T"
O -2.5521 2.5173 4.9978
O 3.2190 4.3459 3.9485
O -3.4546 5.6603 -0.9303
O 1.5651 5.5699 -0.6402
O 2.4505 6.0641 2.2345
O -4.8052 -0.2629 2.5495
O -2.8677 3.0906 -0.2415
O 0.6062 4.9331 3.6228
O -3.9198 0.2314 5.4241
O 1.8745 3.3225 1.8113
O 2.9156 1.3463 4.3984
O -3.1199 5.0300 1.6712
O -1.6836 0.1818 3.8686
O 0.5130 2.7107 5.0255
O -0.6711 5.6195 0.9154
O 1.0999 0.1409 5.7143
O -4.2292 2.4788 2.9726
O -1.7427 0.7214 6.6494
O -0.6120 5.0798 -1.8654
O -5.2703 4.4550 0.3855
O -5.5737 1.4554 0.8354
O 0.1974 3.2840 -0.2138
O 0.7652 0.7713 3.1127
O -2.9610 0.8682 1.1612
Pr -6.9751 2.8697 -0.2492
Pr 4.6204 2.9316 5.0332
Pr 0.0061 -0.6986 7.5141
Pr 3.3417 6.7655 0.1046
Pr -5.6964 -0.9642 4.6794
Pr -2.3608 6.4999 -2.7301
Si 2.0645 4.5551 2.8246
Si 1.2671 1.3459 4.6373
Si -2.4337 0.8223 5.1371
Si 0.0790 4.9790 -0.3532
Si -4.4192 1.2462 1.9593
Si -3.6218 4.4554 0.1467
H -2.7334 1.7216 0.6530
H -3.0982 2.6541 4.1484
H 0.3787 4.0797 4.1310
H 0.7435 3.1472 0.6355
H -0.2342 0.6107 3.2301
H -2.1205 5.1905 1.5538
```



Energy relative to the most stable one, in meV per atom: A 53; B 160; C 0; D 98



A | Entry from OQMD: a geometry-optimized PrSiHO4 structure (PBE).

```
28
Lattice="5.5461 0.0078 0.0000 -4.4861 9.5014 0.0000 0.0000 0.0000 7.1326" Properties=species:S:1:pos:R:3 pbc="T T T"
O -0.7895 4.0990 3.7452
O 0.2927 2.2268 5.9386
O -3.0325 8.8496 6.9537
O 4.3786 0.3218 4.7231
O -3.3186 9.1874 2.4095
O -2.0145 7.0665 1.3680
O 3.0104 2.5316 2.3723
O -1.9504 6.9775 4.7603
O -1.0756 4.4367 1.1568
O 0.2286 2.3158 2.1983
O 0.8314 7.1934 4.9342
O 4.0925 0.6595 0.1789
O 3.0745 2.4427 5.7646
O 1.8494 5.4102 3.3874
O 2.1355 5.0724 5.9758
O 0.7673 7.2823 1.1940
Pr -0.4660 6.3153 3.0106
Pr -0.7171 7.9446 6.5769
Pr 1.5260 3.1939 4.1220
Pr 1.7771 1.5646 0.5557
Si -3.3347 7.9960 1.1983
Si 4.3947 1.5131 5.9343
Si 2.1516 6.2638 4.7646
Si -1.0917 3.2454 2.3680
H 2.9813 4.5854 6.0902
H 0.3218 0.1731 2.5240
H 0.7382 9.3360 4.6086
H -1.9213 4.9238 1.0423
```



B | Entry from OQMD: a geometry-optimized PrSiHO4 structure (PBE).

```
28
Lattice="6.4593 0.0000 -0.3401 0.0000 8.9924 0.0000 -2.6578 0.0000 5.8049" Properties=species:S:1:pos:R:3 pbc="T T T"
Pr 4.2718 3.3566 1.2912
Pr -0.4702 5.6358 4.1735
Pr 0.8587 7.8528 1.2711
Pr 2.9428 1.1396 4.1936
O 4.9239 1.8818 2.9971
O 1.8563 2.4009 2.1683
O -1.1223 7.1106 2.4676
O 0.0054 4.4070 2.2512
O -1.3235 0.0892 5.1537
O 5.1250 8.9032 0.3111
O -2.4513 6.3780 5.3701
O 1.7577 4.8348 5.1239
O 2.0438 4.1576 0.3408
O 6.2528 2.6144 0.0947
O 0.7149 0.3386 3.2432
O 1.9452 6.5916 3.2964
O 3.7961 4.5855 3.2135
O 0.5274 2.0954 5.0708
O 3.0866 8.6538 2.2215
O 3.2741 6.8971 0.3940
Si 0.8945 3.4733 1.2639
Si -0.4344 1.0229 4.1664
Si 2.9070 5.5192 4.2008
Si 4.2360 7.9695 1.2984
H -0.0396 2.9133 5.2986
H 2.5122 7.4095 3.0686
H 1.2893 1.5829 2.3961
H 3.8411 6.0791 0.1662
```



Energy relative to the most stable one, in meV per atom: A 9; B 0